VASP calculation (PBE-GGA) on crystalline KRbLi2Bi at its relaxed geometry.

Summary:
total magnetic moment = 0.000 μB/atom
E_form = -0.1775 eV/atom

extended XYZ file:
```
5
Lattice="5.653 0.000 0.000 0.000 5.653 0.000 0.000 0.000 6.857" Properties=species:S:1:pos:R:3 pbc="T T T"
K 0.000 0.000 3.429
Bi 0.000 0.000 0.000
Rb 2.826 2.826 3.429
Li 0.000 2.826 0.000
Li 2.826 0.000 0.000
```

VASP calculation (PBE-GGA) on crystalline ZrCdHg2 at its relaxed geometry.

Summary:
total magnetic moment = 0.000 μB/atom
E_form = 0.0400 eV/atom

extended XYZ file:
```
4
Lattice="6.203 0.020 0.025 2.818 5.526 -0.025 -3.575 -4.294 2.694" Properties=species:S:1:pos:R:3 pbc="T T T"
Cd 3.569 -0.751 1.360
Hg 0.018 0.011 0.000
Hg 4.492 2.762 0.000
Zr 1.876 2.003 1.335
```

VASP calculation (PBE-GGA) on crystalline NaSr2LaN at its relaxed geometry.

Summary:
total magnetic moment = 0.000 μB/atom
formation energy without anion corrections = -0.32 eV/atom

extended XYZ file:
```
5
Lattice="5.762 0.000 0.000 0.000 5.762 0.000 0.000 0.000 4.906" Properties=species:S:1:pos:R:3 pbc="T T T"
Sr 0.000 2.881 0.000
Sr 2.881 0.000 0.000
N 0.000 0.000 0.000
Na 2.881 2.881 2.453
La 0.000 0.000 2.453
```

VASP calculation (PBE-GGA) on crystalline Dy6AlSe5 at its relaxed geometry.

Summary:
total magnetic moment = 0.000 μB/atom
formation energy without anion corrections = -1.53 eV/atom

extended XYZ file:
```
12
Lattice="-4.190 3.324 4.702 0.970 -7.038 0.493 6.363 2.239 2.287" Properties=species:S:1:pos:R:3 pbc="T T T"
Al 0.000 0.000 0.000
Se -0.136 2.692 5.134
Se -2.468 -0.134 3.297
Se 1.571 -0.737 3.741
Se -0.752 -3.579 1.898
Se 3.279 -4.167 2.348
Dy -0.071 1.339 2.530
Dy 1.521 0.587 6.333
Dy 4.011 0.779 3.000
Dy -0.868 -2.253 4.482
Dy 1.622 -2.061 1.149
Dy 3.214 -2.814 4.952
```

VASP calculation (PBE-GGA) on crystalline Zr3TlP at its relaxed geometry.

Summary:
total magnetic moment = 0.301 μB/atom
E_form = 1.3117 eV/atom

extended XYZ file:
```
5
Lattice="5.297 0.000 0.000 0.000 5.297 0.000 0.000 0.000 5.297" Properties=species:S:1:pos:R:3 pbc="T T T"
P 2.648 2.648 2.648
Tl 0.000 0.000 0.000
Zr 0.000 2.648 0.000
Zr 0.000 0.000 2.648
Zr 2.648 0.000 0.000
```

VASP calculation (PBE-GGA) on crystalline Ba2LaPb2O6 at its relaxed geometry.

Summary:
total magnetic moment = 0.000 μB/atom
formation energy without anion corrections = -2.03 eV/atom

extended XYZ file:
```
11
Lattice="-5.268 3.155 -2.457 0.454 -6.243 -0.087 -1.481 2.769 6.732" Properties=species:S:1:pos:R:3 pbc="T T T"
Ba -3.736 -0.002 -0.893
Ba -2.559 -0.317 5.082
La -3.375 2.962 2.138
Pb -5.621 -0.311 2.752
Pb -0.675 -0.008 1.436
O -4.337 0.830 1.465
O -0.873 -4.149 0.975
O -2.800 2.260 4.437
O -5.423 3.830 3.214
O -3.495 -2.579 -0.248
O -1.958 -1.149 2.724
```

VASP calculation (PBE-GGA) on crystalline ZrSiSbPt2 at its relaxed geometry.

Summary:
total magnetic moment = 0.000 μB/atom
formation energy without anion corrections = 0.79 eV/atom

extended XYZ file:
```
5
Lattice="4.865 0.000 0.000 0.000 5.370 0.000 0.000 0.000 4.865" Properties=species:S:1:pos:R:3 pbc="T T T"
Sb 0.000 0.000 0.000
Si 2.432 2.685 2.432
Zr 0.000 2.685 0.000
Pt 0.000 0.000 2.432
Pt 2.432 0.000 0.000
```

VASP calculation (PBE-GGA) on crystalline BaHf2NbCr at its relaxed geometry.

Summary:
total magnetic moment = 0.203 μB/atom
E_form = 2.3954 eV/atom

extended XYZ file:
```
5
Lattice="5.230 0.000 0.000 0.000 4.560 0.000 0.000 0.000 5.230" Properties=species:S:1:pos:R:3 pbc="T T T"
Cr 0.000 2.280 0.000
Nb 2.615 2.280 2.615
Hf 0.000 0.000 2.615
Hf 2.615 0.000 0.000
Ba 0.000 0.000 0.000
```

no.,calculated density (g cm⁻³)
1,2.63
2,10.95
3,3.58
4,7.84
5,5.69
6,6.65
7,8.25
8,8.51